DFT (PBE+U) results for a relaxed structure of PaCo2ReO8.

Cell lengths 4.712, 4.708, 6.581 Å; angles 90.00, 90.00, 91.20 degrees
Site moments in Bohr magnetons follow the coordinates.
Fractional positions:
O: 0.307 0.306 0.500  0.04
Pa: 0.000 0.000 0.500  0.06
O: 0.808 0.193 0.215  0.04
Co: 0.500 0.500 0.239  2.70
Re: 0.000 0.000 0.000  0.07
O: 0.285 0.284 0.000  0.05
O: 0.192 0.807 0.785  0.04
O: 0.808 0.193 0.785  0.04
O: 0.693 0.694 0.500  0.04
Co: 0.500 0.500 0.761  2.70
O: 0.715 0.716 0.000  0.05
O: 0.192 0.807 0.215  0.04

Total DFT energy (no corrections) (eV/cell): -95.101
Mass density (g cm⁻³): 7.5
M_tot (μB/cell): 5.94